La3FeO | PBE with a Hubbard U | optimized geometry

Output
Symmetry = Pm-3m, No. 221
Energy above the most stable polymorph in this dataset = 0 meV/atom
Mass density = 6.32 g/cm3

Cell: 5.0441 5.0441 5.0441 Å, 90.00 90.00 90.00°
Last column: nearest neighbours and their distance in Å.
Fractional coordinates of all 5 atoms:
La: 0.0000 0.0000 0.5000  2 O 2.52
La: 0.0000 0.5000 0.0000  2 O 2.52
La: 0.5000 0.0000 0.0000  2 O 2.52
Fe: 0.5000 0.5000 0.5000  12 La 3.57
O: 0.0000 0.0000 0.0000  6 La 2.52